1.
The following is a PBE calculation of crystalline Tl3Sn8Hg3 at its relaxed geometry, from Alexandria via LeMat-Bulk.

abc: 5.076 9.363 9.362
angles: 80.64 72.77 72.72
Element x y z (fractional)
Tl 0.205 0.780 0.780
Sn 0.853 0.501 0.761
Hg 0.500 0.000 0.000
Tl 0.500 0.500 0.500
Sn 0.670 0.633 0.070
Sn 0.330 0.930 0.367
Sn 0.853 0.761 0.501
Sn 0.147 0.499 0.239
Tl 0.795 0.220 0.220
Hg 0.000 0.854 0.146
Hg 0.000 0.146 0.854
Sn 0.147 0.239 0.499
Sn 0.330 0.367 0.930
Sn 0.670 0.070 0.633

Values from the calculation:
The final energy is -39.4 eV/f.u. The symmetry is No. 12. Its formation energy is 0.0446 eV per atom.

2.
The following is a PBE calculation of crystalline SrPuHgAu at its relaxed geometry, from Alexandria via LeMat-Bulk.

abc: 5.386 5.386 5.386
angles: 60.00 60.00 60.00
Element x y z (fractional)
Hg 0.750 0.750 0.750
Pu 0.000 0.000 0.000
Au 0.250 0.250 0.250
Sr 0.500 0.500 0.500

Values from the calculation:
The final energy is -21.0 eV/f.u. The symmetry is No. 216. Its formation energy is -0.3512 eV per atom.

Q: final energy of number 2 (SrPuHgAu)?
A: -21.0 eV/f.u.

Q: The highest final energy belongs to which entry?
A: SrPuHgAu

Q: Among the records above, which one has the highest final energy?
A: SrPuHgAu